Density functional theory data (PBE-GGA) for RbPd2CBr after structural relaxation.

Structure (POSCAR):
```
RbPd2CBr
1.0
5.494 0.000 0.000
0.000 6.126 0.000
0.000 0.000 5.494
C Br Rb Pd
1 1 1 2
Direct
0.500 0.500 0.500
0.000 0.500 0.000
0.000 0.000 0.000
0.000 0.000 0.500
0.500 0.000 0.000
```

## Properties
Energy relative to the elements, uncorrected, eV per atom: 2.2875
Space-group type: P4/mmm, No. 123
Density, g/cm³: 3.51

Density functional theory data (PBE-GGA) for SnPd2CBr after structural relaxation.

Structure (POSCAR):
```
SnPd2CBr
1.0
-1.584 -4.242 -2.085
1.076 -1.994 3.240
-4.528 0.731 1.953
Sn Pd C Br
1 2 1 1
Direct
0.500 0.500 0.500
0.000 0.000 0.500
0.500 0.000 0.000
0.000 0.500 0.000
0.000 0.000 0.000
```

## Properties
Energy relative to the elements, uncorrected, eV per atom: 1.4397
Space-group type: P4/mmm, No. 123
Density, g/cm³: 7.16

Density functional theory data (PBE-GGA) for Sr2PdCBr after structural relaxation.

Structure (POSCAR):
```
Sr2PdCBr
1.0
5.572 0.000 0.000
0.000 3.971 0.000
0.000 0.000 5.572
Pd Sr Br C
1 2 1 1
Direct
0.000 0.500 0.000
0.500 0.000 0.000
0.000 0.000 0.500
0.500 0.500 0.500
0.000 0.000 0.000
```

## Properties
Energy relative to the elements, uncorrected, eV per atom: -0.6084
Space-group type: P4/mmm, No. 123
Density, g/cm³: 5.03

Density functional theory data (PBE-GGA) for TePdC2Br after structural relaxation.

Structure (POSCAR):
```
TePdC2Br
1.0
4.305 0.000 0.000
0.000 4.305 0.000
0.000 0.000 4.873
C Br Pd Te
2 1 1 1
Direct
0.500 0.000 0.000
0.000 0.500 0.000
0.000 0.000 0.000
0.000 0.000 0.500
0.500 0.500 0.500
```

## Properties
Energy relative to the elements, uncorrected, eV per atom: 2.5146
Space-group type: P4/mmm, No. 123
Density, g/cm³: 6.21

Density functional theory data (PBE-GGA) for PdWC2Br after structural relaxation.

Structure (POSCAR):
```
PdWC2Br
1.0
3.857 0.000 0.000
0.000 5.588 0.000
0.000 0.000 3.857
Br C W Pd
1 2 1 1
Direct
0.500 0.500 0.500
0.000 0.000 0.500
0.500 0.000 0.000
0.000 0.500 0.000
0.000 0.000 0.000
```

## Properties
Energy relative to the elements, uncorrected, eV per atom: 2.4266
Space-group type: P4/mmm, No. 123
Density, g/cm³: 7.87

Density functional theory data (PBE-GGA) for Pm2CBr2 after structural relaxation.

Structure (POSCAR):
```
Pm2CBr2
1.0
-2.069 1.857 2.734
-5.528 -3.414 -1.864
7.436 -6.454 7.230
Pm Br C
4 4 2
Direct
0.314 0.507 0.627
0.186 0.992 0.373
0.814 0.008 0.627
0.686 0.493 0.373
0.403 0.301 0.805
0.903 0.801 0.805
0.097 0.199 0.195
0.597 0.699 0.195
0.250 0.750 0.500
0.750 0.250 0.500
```

## Properties
Energy relative to the elements, uncorrected, eV per atom: -1.1899
Space-group type: C2/m, No. 12
Density, g/cm³: 5.26
Distance to the lowest polymorph of the same formula, eV/atom: 0.0000

Density functional theory data (PBE-GGA) for Pm4C2Br after structural relaxation.

Structure (POSCAR):
```
Pm4C2Br
1.0
3.728 0.000 0.000
1.864 3.229 0.000
1.864 1.076 14.028
C Pm Br
2 4 1
Direct
0.579 0.579 0.264
0.421 0.421 0.736
0.122 0.122 0.634
0.277 0.277 0.169
0.878 0.878 0.366
0.723 0.723 0.831
0.000 0.000 0.000
```

## Properties
Energy relative to the elements, uncorrected, eV per atom: -0.5687
Space-group type: R-3m, No. 166
Density, g/cm³: 6.73

Density functional theory data (PBE-GGA) for Pm2CBr after structural relaxation.

Structure (POSCAR):
```
Pm2CBr
1.0
-0.741 -1.613 3.330
-1.732 -3.350 0.130
5.770 -5.072 0.964
C Pm Br
1 2 1
Direct
0.667 0.667 0.998
0.273 0.273 0.182
0.061 0.061 0.817
0.499 0.499 0.503
```

## Properties
Energy relative to the elements, uncorrected, eV per atom: -0.8989
Space-group type: R3m, No. 160
Density, g/cm³: 6.92
Distance to the lowest polymorph of the same formula, eV/atom: 0.0122

Density functional theory data (PBE-GGA) for Pm2CBr after structural relaxation.

Structure (POSCAR):
```
Pm2CBr
1.0
-0.583 -3.404 -1.566
1.950 2.648 -1.890
5.146 -3.085 4.792
Pm C Br
2 1 1
Direct
0.272 0.045 0.317
0.728 0.955 0.683
0.000 0.500 0.500
0.500 0.500 0.000
```

## Properties
Energy relative to the elements, uncorrected, eV per atom: -0.9112
Space-group type: R-3m, No. 166
Density, g/cm³: 6.92
Distance to the lowest polymorph of the same formula, eV/atom: 0.0000

Density functional theory data (PBE-GGA) for Pm8C4Br3 after structural relaxation.

Structure (POSCAR):
```
Pm8C4Br3
1.0
7.775 -0.099 -0.142
-3.783 6.953 0.162
-3.783 -2.262 6.577
C Br Pm
4 3 8
Direct
0.000 0.000 0.500
0.500 0.000 0.000
0.000 0.000 0.000
0.000 0.500 0.000
0.500 0.500 0.500
0.500 0.500 0.000
0.500 0.000 0.500
0.541 0.794 0.794
0.966 0.223 0.223
0.500 0.228 0.772
0.000 0.232 0.768
0.000 0.768 0.232
0.034 0.777 0.777
0.459 0.206 0.206
0.500 0.772 0.228
```

## Properties
Energy relative to the elements, uncorrected, eV per atom: -0.4764
Space-group type: C2/m, No. 12
Density, g/cm³: 6.85

Density functional theory data (PBE-GGA) for Pm3C2Br2 after structural relaxation.

Structure (POSCAR):
```
Pm3C2Br2
1.0
-1.367 -1.950 -2.833
5.389 -3.102 1.450
-4.771 -3.444 4.954
Br Pm C
2 3 2
Direct
0.840 0.759 0.623
0.160 0.241 0.377
0.788 0.551 0.207
0.000 0.000 0.000
0.212 0.449 0.793
0.639 0.276 0.942
0.361 0.724 0.058
```

## Properties
Energy relative to the elements, uncorrected, eV per atom: -0.6774
Space-group type: P-1, No. 2
Density, g/cm³: 5.90

Density functional theory data (PBE-GGA) for Pm2C2Br after structural relaxation.

Structure (POSCAR):
```
Pm2C2Br
1.0
4.129 0.000 0.000
0.000 6.706 0.127
-2.065 -1.675 7.442
C Pm Br
4 4 2
Direct
0.359 0.028 0.444
0.085 0.528 0.444
0.641 0.972 0.556
0.915 0.472 0.556
0.153 0.844 0.689
0.847 0.156 0.311
0.464 0.656 0.311
0.536 0.344 0.689
0.222 0.250 0.000
0.778 0.750 0.000
```

## Properties
Energy relative to the elements, uncorrected, eV per atom: -0.7789
Space-group type: C2/c, No. 15
Density, g/cm³: 6.32

Question: What is the formula in the fifth record?
Answer: PdWC2Br